No. 1
Here is Nb2Te5Mo after structural relaxation from the Alexandria database. Energies are from PBE.

Spin magnetization   0.00 μB/f.u.
Density of states at the Fermi level   9.4 states/eV/cell
VASP energy   -5.8791 eV per atom
Energy relative to the elements, uncorrected   -0.044 eV per atom

Structure (CIF):
```
data_Nb2Te5Mo
_chemical_formula_sum 'Nb4 Te10 Mo2'
_cell_length_a 5.3365
_cell_length_b 6.9351
_cell_length_c 12.0451
_cell_angle_alpha 90.00
_cell_angle_beta 90.00
_cell_angle_gamma 112.63
_symmetry_space_group_name_H-M 'P 1'
_symmetry_Int_Tables_number 1
loop_
_symmetry_equiv_pos_as_xyz
'x,y,z'
loop_
_atom_site_label
_atom_site_fract_x
_atom_site_fract_y
_atom_site_fract_z
Nb1 0.8482 0.6965 0.3798
Nb2 0.8482 0.6965 0.1202
Nb3 0.1518 0.3035 0.6202
Nb4 0.1518 0.3035 0.8798
Te1 0.9374 0.8748 0.8872
Te2 0.9374 0.8748 0.6128
Te3 0.3310 0.6620 0.4565
Te4 0.3310 0.6620 0.0435
Te5 0.6672 0.3344 0.2500
Te6 0.3328 0.6656 0.7500
Te7 0.6690 0.3380 0.5435
Te8 0.6690 0.3380 0.9565
Te9 0.0626 0.1252 0.1128
Te10 0.0626 0.1252 0.3872
Mo1 0.7591 0.5181 0.7500
Mo2 0.2409 0.4819 0.2500
```


No. 2
Here is Pm5ZnRu2 after structural relaxation from the Alexandria database. Energies are from PBE.

ΔE_f   -2.0 eV/f.u.
Spin magnetization   0.00 μB/f.u.
Density of states at the Fermi level   14.1 states/eV/cell
VASP energy   -5.6993 eV per atom

Structure (CIF):
```
data_Pm5ZnRu2
_chemical_formula_sum 'Pm10 Zn2 Ru4'
_cell_length_a 7.9038
_cell_length_b 7.9038
_cell_length_c 8.7433
_cell_angle_alpha 116.87
_cell_angle_beta 116.87
_cell_angle_gamma 90.00
_symmetry_space_group_name_H-M 'P 1'
_symmetry_Int_Tables_number 1
loop_
_symmetry_equiv_pos_as_xyz
'x,y,z'
loop_
_atom_site_label
_atom_site_fract_x
_atom_site_fract_y
_atom_site_fract_z
Pm1 0.5244 0.7038 0.7282
Pm2 0.7962 0.9756 0.2718
Pm3 0.0000 0.0000 0.0000
Pm4 0.5000 0.5000 0.0000
Pm5 0.2038 0.0244 0.7282
Pm6 0.7038 0.2038 0.7282
Pm7 0.0244 0.5244 0.7282
Pm8 0.2962 0.7962 0.2718
Pm9 0.9756 0.4756 0.2718
Pm10 0.4756 0.2962 0.2718
Zn1 0.7500 0.7500 0.5000
Zn2 0.2500 0.2500 0.5000
Ru1 0.1408 0.3592 0.0000
Ru2 0.6408 0.1408 0.0000
Ru3 0.3592 0.8592 0.0000
Ru4 0.8592 0.6408 0.0000
```


No. 3
Here is LiMg16Al12 after structural relaxation from the Alexandria database. Energies are from PBE.

ΔE_f   -1.1 eV/f.u.
Spin magnetization   0.00 μB/f.u.
Distance to the lowest polymorph of the same formula   0.00 eV/f.u.
Density of states at the Fermi level   9.2 states/eV/cell
VASP energy   -2.5325 eV per atom

Structure (CIF):
```
data_LiMg16Al12
_chemical_formula_sum 'Li1 Mg16 Al12'
_cell_length_a 9.0822
_cell_length_b 9.0822
_cell_length_c 9.1065
_cell_angle_alpha 70.50
_cell_angle_beta 70.50
_cell_angle_gamma 109.31
_symmetry_space_group_name_H-M 'P 1'
_symmetry_Int_Tables_number 1
loop_
_symmetry_equiv_pos_as_xyz
'x,y,z'
loop_
_atom_site_label
_atom_site_fract_x
_atom_site_fract_y
_atom_site_fract_z
Li1 0.6843 0.6843 0.7086
Mg1 0.3972 0.3972 0.2882
Mg2 0.9913 0.9913 0.6562
Mg3 0.0010 0.0010 0.9983
Mg4 0.6565 0.6565 0.3440
Mg5 0.5997 0.3210 0.9976
Mg6 0.7149 0.4014 0.6016
Mg7 0.3157 0.0009 0.3986
Mg8 0.3448 0.0002 0.0006
Mg9 0.9985 0.6027 0.6854
Mg10 0.6840 0.2855 0.3165
Mg11 0.2855 0.6840 0.3165
Mg12 0.6027 0.9985 0.6854
Mg13 0.0002 0.3448 0.0006
Mg14 0.0009 0.3157 0.3986
Mg15 0.4014 0.7149 0.6016
Mg16 0.3210 0.5997 0.9976
Al1 0.1850 0.1850 0.1800
Al2 0.3680 0.3680 0.8177
Al3 0.8148 0.6338 0.0013
Al4 0.9994 0.8146 0.3672
Al5 0.3645 0.1795 0.6350
Al6 0.1857 0.8189 0.8156
Al7 0.0019 0.6344 0.1840
Al8 0.6344 0.0019 0.1840
Al9 0.8189 0.1857 0.8156
Al10 0.1795 0.3645 0.6350
Al11 0.8146 0.9994 0.3672
Al12 0.6338 0.8148 0.0013
```


No. 4
Here is BaTlTe2Pb after structural relaxation from the Alexandria database. Energies are from PBE.

Spin magnetization   0.00 μB/f.u.
Density of states at the Fermi level   1.4 states/eV/cell
VASP energy   -3.2323 eV per atom
Energy relative to the elements, uncorrected   -0.376 eV per atom

Structure (CIF):
```
data_BaTlTe2Pb
_chemical_formula_sum 'Ba1 Tl1 Te2 Pb1'
_cell_length_a 6.2368
_cell_length_b 6.2368
_cell_length_c 5.6391
_cell_angle_alpha 90.00
_cell_angle_beta 90.00
_cell_angle_gamma 90.00
_symmetry_space_group_name_H-M 'P 1'
_symmetry_Int_Tables_number 1
loop_
_symmetry_equiv_pos_as_xyz
'x,y,z'
loop_
_atom_site_label
_atom_site_fract_x
_atom_site_fract_y
_atom_site_fract_z
Pb1 0.0000 0.0000 0.0000
Tl1 0.0000 0.0000 0.5000
Te1 0.0000 0.5000 0.0000
Te2 0.5000 0.0000 0.0000
Ba1 0.5000 0.5000 0.5000
```


No. 5
Here is LaZn2Se after structural relaxation from the Alexandria database. Energies are from PBE.

Spin magnetization   0.00 μB/f.u.
Density of states at the Fermi level   3.2 states/eV/cell
VASP energy   -3.2892 eV per atom
Energy relative to the elements, uncorrected   -0.549 eV per atom

Structure (CIF):
```
data_LaZn2Se
_chemical_formula_sum 'La1 Zn2 Se1'
_cell_length_a 5.0554
_cell_length_b 5.0554
_cell_length_c 5.0554
_cell_angle_alpha 60.00
_cell_angle_beta 60.00
_cell_angle_gamma 60.00
_symmetry_space_group_name_H-M 'P 1'
_symmetry_Int_Tables_number 1
loop_
_symmetry_equiv_pos_as_xyz
'x,y,z'
loop_
_atom_site_label
_atom_site_fract_x
_atom_site_fract_y
_atom_site_fract_z
La1 0.5000 0.5000 0.5000
Se1 0.7500 0.7500 0.7500
Zn1 0.0000 0.0000 0.0000
Zn2 0.2500 0.2500 0.2500
```


No. 6
Here is K2TeAs after structural relaxation from the Alexandria database. Energies are from PBE.

Spin magnetization   0.26 μB/f.u.
Distance to the lowest polymorph of the same formula   1.47 eV/f.u.
Density of states at the Fermi level   3.2 states/eV/cell
VASP energy   -2.6754 eV per atom
Energy relative to the elements, uncorrected   -0.179 eV per atom

Structure (CIF):
```
data_K2TeAs
_chemical_formula_sum 'K2 Te1 As1'
_cell_length_a 11.0047
_cell_length_b 11.0047
_cell_length_c 11.0047
_cell_angle_alpha 19.50
_cell_angle_beta 19.50
_cell_angle_gamma 19.50
_symmetry_space_group_name_H-M 'P 1'
_symmetry_Int_Tables_number 1
loop_
_symmetry_equiv_pos_as_xyz
'x,y,z'
loop_
_atom_site_label
_atom_site_fract_x
_atom_site_fract_y
_atom_site_fract_z
As1 0.7500 0.7500 0.7500
K1 0.0036 0.0036 0.0036
K2 0.4964 0.4964 0.4964
Te1 0.2500 0.2500 0.2500
```